1.
Computed, not measured: crystalline Sc4SbHPb at its relaxed geometry at the PBE level of DFT.

abc: 6.011 15.842 6.015
angles: 90.00 90.00 90.00
Space group Cmcm (No. 63)
Asymmetric unit:
1 Sc 0.000 0.076 0.250 (multiplicity 4)
2 Sc 0.000 0.424 0.250 (multiplicity 4)
3 Sc 0.250 0.250 0.000 (multiplicity 8)
4 Sb 0.000 0.111 0.750 (multiplicity 4)
5 H 0.000 0.212 0.250 (multiplicity 4)
6 Pb 0.000 0.391 0.750 (multiplicity 4)

=====

2.
Computed, not measured: crystalline Tl2SbHPb at its relaxed geometry at the PBE level of DFT.

abc: 4.959 4.959 5.229
angles: 90.00 90.00 90.00
Space group P4/mmm (No. 123)
Asymmetric unit:
1 Tl 0.000 0.500 0.000 (multiplicity 2)
2 Sb 0.000 0.000 0.500 (multiplicity 1)
3 H 0.500 0.500 0.000 (multiplicity 1)
4 Pb 0.500 0.500 0.500 (multiplicity 1)

=====

The records above give, respectively, DOS at the Fermi energy values of 0.92, 0.33 states/eV per atom.
The records above give, respectively, total energy values of -40.8, -15.0 eV/f.u..